Computed, not measured: a relaxed structure of Ir2WCl at the GGA-PBE level of DFT.

a = 2.808 Å, b = 2.808 Å, c = 8.798 Å
α = 90.00°, β = 90.00°, γ = 90.00°
Space group P4mm (No. 99)
One atom of each set of equivalent atoms:
Ir 0.000 0.000 0.000 (multiplicity 1)
Ir 0.500 0.500 0.223 (multiplicity 1)
W 0.000 0.000 0.429 (multiplicity 1)
Cl 0.500 0.500 0.618 (multiplicity 1)

- Distance to the lowest polymorph of the same formula: 182.3 meV per atom
- Calculated volume: 17.3 Å³/atom
- Uncorrected formation energy: 8.94 kcal/mol of atoms
- Final energy: -0.285 Ha/atom


Computed, not measured: a relaxed structure of IrW2Cl at the GGA-PBE level of DFT.

a = 5.450 Å, b = 8.578 Å, c = 2.813 Å
α = 90.00°, β = 106.71°, γ = 90.00°
Space group C2/m (No. 12)
One atom of each set of equivalent atoms:
Ir 0.000 0.000 0.000 (multiplicity 2)
W 0.250 0.250 0.500 (multiplicity 4)
Cl 0.000 0.500 0.000 (multiplicity 2)

- Distance to the lowest polymorph of the same formula: 681.1 meV per atom
- Calculated volume: 15.7 Å³/atom
- Uncorrected formation energy: 20.46 kcal/mol of atoms
- Final energy: -0.304 Ha/atom


Computed, not measured: a relaxed structure of IrW2Cl at the GGA-PBE level of DFT.

a = 2.8704 Å, b = 2.8704 Å, c = 30.1425 Å
α = 90.00°, β = 90.00°, γ = 120.00°
Space group R3m (No. 160, hexagonal axes)
One atom of each set of equivalent atoms:
Ir 0.0000 0.0000 0.0000 (multiplicity 3)
W 0.0000 0.0000 0.2651 (multiplicity 3)
W 0.0000 0.0000 0.5178 (multiplicity 3)
Cl 0.0000 0.0000 0.7899 (multiplicity 3)

- Distance to the lowest polymorph of the same formula: 0.0 meV per atom
- Calculated volume: 17.9 Å³/atom
- Uncorrected formation energy: 4.76 kcal/mol of atoms
- Final energy: -0.329 Ha/atom